Here is a relaxed PtAu4 crystal from Alexandria via LeMat-Bulk. Energies are from PBE.

SG = Pbam
energy relative to the elements = 0.1113 eV per atom

The structure in POSCAR format:
```
PtAu4
1.0
-1.974 4.276 -0.003
-4.213 -1.944 1.476
2.331 1.082 8.077
Au Pt
8 2
Cartesian
-2.218 1.575 6.186
-4.224 0.646 2.442
1.538 0.714 5.375
0.368 2.769 7.107
-5.395 2.700 4.174
-1.639 1.840 3.364
-2.146 4.203 7.483
-1.710 -0.788 2.067
0.000 0.000 0.000
-0.941 -0.431 4.777
```